BaGa2GeSe6 after structural relaxation. Source: Alexandria via LeMat-Bulk, functional PBE.

Calculated values
**Energy relative to the elements, uncorrected**: -836 meV/atom
**Crystal system**: triclinic

The structure in POSCAR format:
```
BaGa2GeSe6
1.0
-4.019 5.131 1.112
0.971 -1.921 6.311
5.937 3.041 -1.142
Ga Se Ba Ge
2 6 1 1
Direct
0.551 0.397 0.822 Ga
0.815 0.536 0.404 Ga
0.725 0.881 0.455 Se
0.893 0.451 0.744 Se
0.258 0.138 0.583 Se
0.453 0.739 0.882 Se
0.595 0.257 0.135 Se
0.132 0.601 0.269 Se
0.999 0.990 0.973 Ba
0.395 0.825 0.548 Ge
```

NpPaHg after structural relaxation. Source: Alexandria via LeMat-Bulk, functional PBE.

Calculated values
**E_tot**: -44.79 eV per cell
**Crystal system**: monoclinic

The structure in POSCAR format:
```
NpPaHg
1.0
-1.154 -3.332 -0.289
1.798 -2.703 1.407
-6.049 -5.928 12.732
Np Pa Hg
2 2 2
Direct
0.273 0.273 0.604 Np
0.480 0.480 0.703 Np
0.063 0.063 0.872 Pa
0.691 0.691 0.436 Pa
0.153 0.153 0.065 Hg
0.600 0.600 0.242 Hg
```

DySi2Pd2Pt after structural relaxation. Source: Alexandria via LeMat-Bulk, functional PBE.

Calculated values
**Energy relative to the elements, uncorrected**: -429 meV/atom
**Crystal system**: tetragonal

The structure in POSCAR format:
```
DySi2Pd2Pt
1.0
4.575 0.000 0.000
0.000 4.575 0.000
0.000 0.000 5.582
Si Pd Pt Dy
2 2 1 1
Direct
0.000 0.500 0.000 Si
0.500 0.000 0.000 Si
0.500 0.500 0.748 Pd
0.500 0.500 0.252 Pd
0.000 0.000 0.000 Pt
0.000 0.000 0.500 Dy
```

LiWC2 after structural relaxation. Source: Alexandria via LeMat-Bulk, functional PBE.

Calculated values
**E_tot**: -28.80 eV per cell
**Crystal system**: cubic

The structure in POSCAR format:
```
LiWC2
1.0
0.000 2.631 2.631
2.631 0.000 2.631
2.631 2.631 0.000
C Li W
2 1 1
Direct
0.250 0.250 0.250 C
0.750 0.750 0.750 C
0.000 0.000 0.000 Li
0.500 0.500 0.500 W
```

SiP2Ru after structural relaxation. Source: Alexandria via LeMat-Bulk, functional PBE.

Calculated values
**Energy relative to the elements, uncorrected**: 61 meV/atom
**Crystal system**: monoclinic

The structure in POSCAR format:
```
SiP2Ru
1.0
4.445 0.000 0.000
0.000 3.223 -0.004
0.000 0.645 4.130
P Ru Si
2 1 1
Direct
0.000 0.473 0.439 P
0.000 0.027 0.061 P
0.500 0.250 0.250 Ru
0.500 0.750 0.750 Si
```

Dy2CdCl8 after structural relaxation. Source: Alexandria via LeMat-Bulk, functional PBE.

Calculated values
**Energy relative to the elements, uncorrected**: -1824 meV/atom
**Crystal system**: monoclinic

The structure in POSCAR format:
```
Dy2CdCl8
1.0
-2.311 -3.887 -7.148
-6.682 -1.838 2.411
-6.084 3.991 -0.951
Dy Cl Cd
2 8 1
Direct
0.380 0.863 0.863 Dy
0.620 0.137 0.137 Dy
0.851 0.375 0.869 Cl
0.149 0.625 0.131 Cl
0.526 0.327 0.327 Cl
0.149 0.131 0.625 Cl
0.674 0.923 0.923 Cl
0.851 0.869 0.375 Cl
0.326 0.077 0.077 Cl
0.474 0.673 0.673 Cl
0.000 0.000 0.000 Cd
```

VNi2PtCl after structural relaxation. Source: Alexandria via LeMat-Bulk, functional PBE.

Calculated values
**Energy relative to the elements, uncorrected**: 924 meV/atom
**Crystal system**: tetragonal

The structure in POSCAR format:
```
VNi2PtCl
1.0
4.070 0.000 0.000
0.000 4.696 0.000
0.000 0.000 4.070
Ni Pt Cl V
2 1 1 1
Direct
0.000 0.000 0.500 Ni
0.500 0.000 0.000 Ni
0.000 0.500 0.000 Pt
0.000 0.000 0.000 Cl
0.500 0.500 0.500 V
```

Tb5Dy2ThSc after structural relaxation. Source: Alexandria via LeMat-Bulk, functional PBE.

Calculated values
**E_tot**: -89.19 eV per cell
**Crystal system**: orthorhombic

The structure in POSCAR format:
```
Tb5Dy2ThSc
1.0
-4.815 0.583 -2.914
2.681 -10.857 -1.110
-4.955 -2.019 7.783
Tb Dy Sc Th
10 4 2 2
Direct
0.604 0.208 0.545 Tb
0.396 0.792 0.045 Tb
0.697 0.393 0.219 Tb
0.303 0.607 0.719 Tb
0.731 0.461 0.825 Tb
0.530 0.059 0.248 Tb
0.470 0.941 0.748 Tb
0.013 0.027 0.013 Tb
0.987 0.973 0.513 Tb
0.269 0.539 0.325 Tb
0.885 0.769 0.822 Dy
0.133 0.265 0.710 Dy
0.867 0.735 0.210 Dy
0.115 0.231 0.322 Dy
0.189 0.377 0.015 Sc
0.811 0.623 0.515 Sc
0.401 0.802 0.427 Th
0.599 0.198 0.927 Th
```

Y6ErZr after structural relaxation. Source: Alexandria via LeMat-Bulk, functional PBE.

Calculated values
**E_tot**: -51.38 eV per cell
**Crystal system**: triclinic

The structure in POSCAR format:
```
Y6ErZr
1.0
5.963 -0.201 1.098
0.399 6.971 -0.823
-0.072 -1.035 5.988
Y Zr Er
6 1 1
Direct
0.241 0.623 0.505 Y
0.499 0.742 0.000 Y
0.501 0.258 0.000 Y
0.759 0.377 0.495 Y
0.754 0.868 0.487 Y
0.246 0.132 0.513 Y
0.000 0.500 0.000 Zr
0.000 0.000 0.000 Er
```

SnRhF2 after structural relaxation. Source: Alexandria via LeMat-Bulk, functional PBE.

Calculated values
**Energy relative to the elements, uncorrected**: -717 meV/atom
**Crystal system**: cubic

The structure in POSCAR format:
```
SnRhF2
1.0
0.000 3.088 3.088
3.088 0.000 3.088
3.088 3.088 0.000
F Rh Sn
2 1 1
Direct
0.750 0.750 0.750 F
0.250 0.250 0.250 F
0.000 0.000 0.000 Rh
0.500 0.500 0.500 Sn
```

Rb2GaBiCl after structural relaxation. Source: Alexandria via LeMat-Bulk, functional PBE.

Calculated values
**Energy relative to the elements, uncorrected**: -502 meV/atom
**Crystal system**: tetragonal

The structure in POSCAR format:
```
Rb2GaBiCl
1.0
-2.515 -1.036 -6.418
4.814 -0.626 -1.785
-0.419 -6.841 1.268
Cl Bi Rb Ga
1 1 2 1
Direct
0.500 0.500 0.500 Cl
0.000 0.500 0.000 Bi
0.000 0.000 0.500 Rb
0.500 0.000 0.000 Rb
0.000 0.000 0.000 Ga
```

LaGeAu after structural relaxation. Source: Alexandria via LeMat-Bulk, functional PBE.

Calculated values
**E_tot**: -15.37 eV per cell
**Crystal system**: trigonal

The structure in POSCAR format:
```
LaGeAu
1.0
4.192 0.000 0.000
0.000 4.484 0.000
0.000 -2.242 3.883
La Au Ge
1 1 1
Direct
0.662 0.667 0.333 La
0.145 0.000 0.000 Au
0.193 0.333 0.667 Ge
```

Number 1: spin magnetization 0.0 μB/f.u.. Number 2: spin magnetization 0.0 μB/f.u.. Number 3: spin magnetization 0.0 μB/f.u.. Number 4: spin magnetization 0.0 μB/f.u.. Number 5: spin magnetization 0.0 μB/f.u.. Number 6: spin magnetization 0.0 μB/f.u.. Number 7: spin magnetization 0.3 μB/f.u.. Number 8: spin magnetization 0.0 μB/f.u.. Number 9: spin magnetization 0.0 μB/f.u.. Number 10: spin magnetization 1.0 μB/f.u.. Number 11: spin magnetization 0.0 μB/f.u.. Number 12: spin magnetization 0.0 μB/f.u..